No. 1
Compound: ThZn3Ga2
Source: the Alexandria database
Functional: GGA-PBE
Structure: relaxed

Calculated formation energy in eV per atom: -0.306
Crystal system: monoclinic

Unit cell a=15.3202 b=4.2799 c=7.6593 alpha=90.00 beta=114.94 gamma=90.00
Space group C2/m (No. 12)
Inequivalent atoms, fractional coordinates:
Th (0.1505, 0.0000, 0.0820) x4
Zn (0.0232, 0.0000, 0.3582) x4
Zn (0.1225, 0.5000, 0.7549) x4
Zn (0.1856, 0.5000, 0.4585) x4
Ga (0.0216, 0.5000, 0.1735) x4
Ga (0.1884, 0.0000, 0.6867) x4

***

No. 2
Compound: Pu5USe6
Source: the Alexandria database
Functional: GGA-PBE
Structure: relaxed

Formation energy (no corrections) in eV/atom: -1.405
Crystal system: monoclinic

Unit cell a=7.1042 b=12.3128 c=7.1905 alpha=90.00 beta=109.25 gamma=90.00
Space group C2/m (No. 12)
Inequivalent atoms, fractional coordinates:
Pu (0.0000, 0.0000, 0.0000) x2
Pu (0.0000, 0.1664, 0.5000) x4
Pu (0.0000, 0.3324, 0.0000) x4
U (0.0000, 0.5000, 0.5000) x2
Se (0.2465, 0.5000, 0.2492) x4
Se (0.2486, 0.3348, 0.7503) x8

***

No. 3
Compound: ZnInGa
Source: the Alexandria database
Functional: GGA-PBE
Structure: relaxed

Calculated formation energy in eV per atom: 0.078
Crystal system: triclinic

Unit cell a=3.2147 b=6.2374 c=6.3206 alpha=84.03 beta=89.97 gamma=89.99
Space group P1 (No. 1)
Inequivalent atoms, fractional coordinates:
Zn (0.0000, 0.0000, 0.0000) x1
Zn (0.0000, 0.3826, 0.4556) x1
In (0.5002, 0.7874, 0.3288) x1
In (0.5007, 0.3821, 0.0500) x1
Ga (0.0017, 0.6825, 0.7431) x1
Ga (0.5010, 0.0844, 0.6547) x1